A plane-wave DFT calculation with PBE was carried out for NdBeCoSi2 after structural relaxation.

Cell and atoms, written as CIF:
```
data_NdBeCoSi2
_chemical_formula_sum 'Nd2 Be2 Co2 Si4'
_cell_length_a 3.9413
_cell_length_b 3.9413
_cell_length_c 9.9248
_cell_angle_alpha 90.00
_cell_angle_beta 90.00
_cell_angle_gamma 90.00
_symmetry_space_group_name_H-M 'I -4 m 2'
_symmetry_Int_Tables_number 119
_symmetry_space_group_name_Hall 'I -4 -2'
loop_
_atom_site_label
_atom_site_type_symbol
_atom_site_fract_x
_atom_site_fract_y
_atom_site_fract_z
_atom_site_occupancy
Nd1 Nd 0.0000 0.0000 0.0000 1
Be1 Be 0.0000 0.5000 0.7500 1
Co1 Co 0.0000 0.5000 0.2500 1
Si1 Si 0.0000 0.0000 0.3718 1
```

The value obtained for the density of states at the Fermi level is 6.83 states/eV per cell. The total magnetization is 0.517 μB per cell. For the uncorrected formation energy, the calculation gives -0.5858 eV per atom.

***

A plane-wave DFT calculation with PBE was carried out for Ho3Sb2Te after structural relaxation.

Cell and atoms, written as CIF:
```
data_Ho3Sb2Te
_chemical_formula_sum 'Ho12 Sb8 Te4'
_cell_length_a 4.2542
_cell_length_b 15.5637
_cell_length_c 10.0211
_cell_angle_alpha 90.00
_cell_angle_beta 90.00
_cell_angle_gamma 90.00
_symmetry_space_group_name_H-M 'C m c m'
_symmetry_Int_Tables_number 63
_symmetry_space_group_name_Hall '-C 2c 2'
loop_
_atom_site_label
_atom_site_type_symbol
_atom_site_fract_x
_atom_site_fract_y
_atom_site_fract_z
_atom_site_occupancy
Ho1 Ho 0.0000 0.1352 0.2500 1
Ho2 Ho 0.0000 0.3427 0.0406 1
Sb1 Sb 0.0000 0.0000 0.0000 1
Sb2 Sb 0.0000 0.4966 0.2500 1
Te1 Te 0.0000 0.2257 0.7500 1
```

The value obtained for the density of states at the Fermi level is 17.82 states/eV per cell. As for the energy above the most stable polymorph in this dataset: 0.428 eV per atom. The total magnetization is 0.000 μB per cell. For the uncorrected formation energy, the calculation gives -0.7806 eV per atom.

***

A plane-wave DFT calculation with PBE was carried out for Ba2PdPt2 after structural relaxation.

Cell and atoms, written as CIF:
```
data_Ba2PdPt2
_chemical_formula_sum 'Ba4 Pd2 Pt4'
_cell_length_a 3.8610
_cell_length_b 3.8610
_cell_length_c 18.3612
_cell_angle_alpha 90.00
_cell_angle_beta 90.00
_cell_angle_gamma 90.00
_symmetry_space_group_name_H-M 'I 4/m m m'
_symmetry_Int_Tables_number 139
_symmetry_space_group_name_Hall '-I 4 2'
loop_
_atom_site_label
_atom_site_type_symbol
_atom_site_fract_x
_atom_site_fract_y
_atom_site_fract_z
_atom_site_occupancy
Ba1 Ba 0.0000 0.0000 0.1074 1
Pd1 Pd 0.0000 0.0000 0.5000 1
Pt1 Pt 0.0000 0.5000 0.2500 1
```

The value obtained for the density of states at the Fermi level is 4.04 states/eV per cell. The value obtained for the formation energy from the elements is -445 meV per atom. As for the energy above the most stable polymorph in this dataset: 0.241 eV per atom. The total magnetization is 0.000 μB per cell.

***

A plane-wave DFT calculation with PBE was carried out for Sr2CaAu after structural relaxation.

Cell and atoms, written as CIF:
```
data_Sr2CaAu
_chemical_formula_sum 'Sr8 Ca4 Au4'
_cell_length_a 8.0879
_cell_length_b 10.5038
_cell_length_c 7.2321
_cell_angle_alpha 90.00
_cell_angle_beta 90.00
_cell_angle_gamma 90.00
_symmetry_space_group_name_H-M 'P n m a'
_symmetry_Int_Tables_number 62
loop_
_symmetry_equiv_pos_as_xyz
'x,y,z'
'-x,-y,-z'
'-x+1/2,-y,z+1/2'
'x+1/2,y,-z+1/2'
'x+1/2,-y+1/2,-z+1/2'
'-x+1/2,y+1/2,z+1/2'
'-x,y+1/2,-z'
'x,-y+1/2,z'
loop_
_atom_site_label
_atom_site_type_symbol
_atom_site_fract_x
_atom_site_fract_y
_atom_site_fract_z
_atom_site_occupancy
Sr1 Sr 0.1763 0.0662 0.1689 1
Ca1 Ca 0.0424 0.2500 0.6572 1
Au1 Au 0.1267 0.7500 0.9700 1
```

The value obtained for the density of states at the Fermi level is 11.97 states/eV per cell. The value obtained for the formation energy from the elements is -455 meV per atom. As for the energy above the most stable polymorph in this dataset: 0.000 eV per atom. The total magnetization is 0.000 μB per cell.

***

A plane-wave DFT calculation with PBE was carried out for CeTmCoTc after structural relaxation.

Cell and atoms, written as CIF:
```
data_CeTmCoTc
_chemical_formula_sum 'Ce4 Tm4 Co4 Tc4'
_cell_length_a 6.7444
_cell_length_b 6.7444
_cell_length_c 6.7444
_cell_angle_alpha 90.00
_cell_angle_beta 90.00
_cell_angle_gamma 90.00
_symmetry_space_group_name_H-M 'F -4 3 m'
_symmetry_Int_Tables_number 216
_symmetry_space_group_name_Hall 'F -4 2 3'
loop_
_atom_site_label
_atom_site_type_symbol
_atom_site_fract_x
_atom_site_fract_y
_atom_site_fract_z
_atom_site_occupancy
Ce1 Ce 0.0000 0.0000 0.0000 1
Tm1 Tm 0.0000 0.0000 0.5000 1
Co1 Co 0.2500 0.2500 0.7500 1
Tc1 Tc 0.2500 0.2500 0.2500 1
```

The value obtained for the density of states at the Fermi level is 14.46 states/eV per cell. The value obtained for the formation energy from the elements is -91 meV per atom. The total magnetization is 0.036 μB per cell.

***

A plane-wave DFT calculation with PBE was carried out for TaFeSb2 after structural relaxation.

Cell and atoms, written as CIF:
```
data_TaFeSb2
_chemical_formula_sum 'Ta2 Fe2 Sb4'
_cell_length_a 3.9996
_cell_length_b 3.9996
_cell_length_c 9.6750
_cell_angle_alpha 90.00
_cell_angle_beta 90.00
_cell_angle_gamma 90.00
_symmetry_space_group_name_H-M 'I -4 m 2'
_symmetry_Int_Tables_number 119
_symmetry_space_group_name_Hall 'I -4 -2'
loop_
_atom_site_label
_atom_site_type_symbol
_atom_site_fract_x
_atom_site_fract_y
_atom_site_fract_z
_atom_site_occupancy
Ta1 Ta 0.0000 0.0000 0.0000 1
Fe1 Fe 0.0000 0.5000 0.7500 1
Sb1 Sb 0.0000 0.0000 0.5000 1
Sb2 Sb 0.0000 0.5000 0.2500 1
```

The value obtained for the density of states at the Fermi level is 9.38 states/eV per cell. As for the energy above the most stable polymorph in this dataset: 0.424 eV per atom. The total magnetization is 4.370 μB per cell. For the uncorrected formation energy, the calculation gives 0.4549 eV per atom.

***

A plane-wave DFT calculation with PBE was carried out for Tb5ThSc2 after structural relaxation.

Cell and atoms, written as CIF:
```
data_Tb5ThSc2
_chemical_formula_sum 'Tb10 Th2 Sc4'
_cell_length_a 6.9844
_cell_length_b 13.9832
_cell_length_c 4.9125
_cell_angle_alpha 90.00
_cell_angle_beta 90.00
_cell_angle_gamma 90.00
_symmetry_space_group_name_H-M 'P b a m'
_symmetry_Int_Tables_number 55
loop_
_symmetry_equiv_pos_as_xyz
'x,y,z'
'-x,-y,-z'
'-x,-y,z'
'x,y,-z'
'x+1/2,-y+1/2,-z'
'-x+1/2,y+1/2,z'
'-x+1/2,y+1/2,-z'
'x+1/2,-y+1/2,z'
loop_
_atom_site_label
_atom_site_type_symbol
_atom_site_fract_x
_atom_site_fract_y
_atom_site_fract_z
_atom_site_occupancy
Tb1 Tb 0.0000 0.0000 0.0000 1
Tb2 Tb 0.0093 0.2504 0.0000 1
Tb3 Tb 0.2481 0.8752 0.5000 1
Th1 Th 0.0000 0.5000 0.0000 1
Sc1 Sc 0.2379 0.6225 0.5000 1
```

The value obtained for the density of states at the Fermi level is 22.89 states/eV per cell. The value obtained for the formation energy from the elements is 38 meV per atom. The total magnetization is 0.000 μB per cell.